[1]
Density functional theory data (PBE) for an optimized crystal structure of RbErSiTe3.

Cell: 8.231 8.231 11.948 Å, 90.00 90.00 146.82°
Positions (direct):
Si: 0.963 0.037 0.250
Si: 0.037 0.963 0.750
Te: 0.555 0.445 0.250
Te: 0.445 0.555 0.750
Te: 0.126 0.874 0.548
Te: 0.874 0.126 0.048
Te: 0.874 0.126 0.452
Te: 0.126 0.874 0.952
Er: 0.500 0.500 0.500
Er: 0.500 0.500 0.000
Rb: 0.751 0.249 0.750
Rb: 0.249 0.751 0.250

Calculated values
The crystal system is orthorhombic.



[2]
Density functional theory data (PBE) for an optimized crystal structure of SrNpSi.

Cell: 5.082 5.082 5.082 Å, 60.00 60.00 60.00°
Positions (direct):
Np: 0.250 0.250 0.250
Si: 0.000 0.000 0.000
Sr: 0.750 0.750 0.750

Calculated values
The crystal system is cubic.



no.,calculated total energy (eV per atom)
1,-4.123
2,-6.316